CaBe2Mo | the Alexandria database | meta-GGA SCAN | PBEsol geometry; distance to the lowest polymorph of the same formula = 104.9 meV per atom; N(E_F) = 0.70 states/eV/atom; formation energy from the elements = 0.9783 eV/atom
1.0
0.000 3.110 3.110
3.110 0.000 3.110
3.110 3.110 0.000
Ca Be Mo
1 2 1
Cartesian
0.000 0.000 0.000
3.110 3.110 3.110
4.666 4.666 4.666
1.555 1.555 1.555